Entry i
A plane-wave DFT calculation with PBE was carried out for crystalline Tb3PrRh at its relaxed geometry.

```
data_Tb3PrRh
_space_group_name_H-M_alt 'P m -3 m'
_space_group_IT_number 221
_space_group_name_Hall '-P 4 2 3'
_cell_length_a 5.4568
_cell_length_b 5.4568
_cell_length_c 5.4568
_cell_angle_alpha 90.00
_cell_angle_beta 90.00
_cell_angle_gamma 90.00
loop_
_atom_site_label
_atom_site_type_symbol
_atom_site_fract_x
_atom_site_fract_y
_atom_site_fract_z
Tb1 Tb 0.0000 0.0000 0.5000
Pr1 Pr 0.5000 0.5000 0.5000
Rh1 Rh 0.0000 0.0000 0.0000
```

**M_tot**: 0.21 μB per atom



Entry ii
A plane-wave DFT calculation with PBE was carried out for crystalline Tb3PrRh at its relaxed geometry.

```
data_Tb3PrRh
_space_group_name_H-M_alt 'P m n 21'
_space_group_IT_number 31
_cell_length_a 7.6395
_cell_length_b 6.5736
_cell_length_c 6.2445
_cell_angle_alpha 90.00
_cell_angle_beta 90.00
_cell_angle_gamma 90.00
loop_
_space_group_symop_operation_xyz
'x,y,z'
'-x+1/2,-y,z+1/2'
'-x,y,z'
'x+1/2,-y,z+1/2'
loop_
_atom_site_label
_atom_site_type_symbol
_atom_site_fract_x
_atom_site_fract_y
_atom_site_fract_z
Tb1 Tb 0.0000 0.1533 0.0000
Tb2 Tb 0.2480 0.6800 0.0105
Pr1 Pr 0.0000 0.8543 0.5195
Rh1 Rh 0.0000 0.4923 0.2583
```

**M_tot**: 0.00 μB per atom



entry ii has the most favorable energy; the next structure is 41 meV per atom above.